Record 1
VASP calculation (meta-GGA SCAN) on a PBEsol-optimized structure of Li2GaC2.

Values from the calculation:
total magnetic moment	0.00	μB per cell
formation energy from the elements	0.159	eV per atom
space-group type	P4/mbm

Cell: 5.247 5.247 3.463 Å, 90.00 90.00 90.00°
Fractional positions:
Li1 0.173 0.327 0.000
Li2 0.327 0.827 0.000
Li3 0.673 0.173 0.000
Li4 0.827 0.673 0.000
Ga1 0.000 0.000 0.500
Ga2 0.500 0.500 0.500
C1 0.092 0.592 0.500
C2 0.408 0.092 0.500
C3 0.592 0.908 0.500
C4 0.908 0.408 0.500

Record 2
VASP calculation (meta-GGA SCAN) on a PBEsol-optimized structure of Ba2ZrAu.

Values from the calculation:
total magnetic moment	2.43	μB per cell
formation energy from the elements	0.043	eV per atom
polymorph energy (0 for the lowest one)	0	meV/atom
space-group type	P4/mmm

Cell: 3.709 3.709 9.396 Å, 90.00 90.00 90.00°
Fractional positions:
Ba1 0.000 0.000 0.218
Ba2 0.000 0.000 0.782
Zr1 0.500 0.500 0.500
Au1 0.500 0.500 0.000

Record 3
VASP calculation (meta-GGA SCAN) on a PBEsol-optimized structure of TlHg5.

Values from the calculation:
total magnetic moment	0.00	μB per cell
formation energy from the elements	-0.020	eV per atom
polymorph energy (0 for the lowest one)	0	meV/atom
space-group type	Amm2

Cell: 4.864 4.349 13.928 Å, 90.00 90.00 90.00°
Fractional positions:
Tl1 0.000 0.000 0.000
Tl2 0.000 0.500 0.500
Hg1 0.000 0.000 0.328
Hg2 0.000 0.000 0.672
Hg3 0.000 0.500 0.172
Hg4 0.000 0.500 0.828
Hg5 0.500 0.000 0.169
Hg6 0.500 0.000 0.501
Hg7 0.500 0.000 0.832
Hg8 0.500 0.500 0.001
Hg9 0.500 0.500 0.332
Hg10 0.500 0.500 0.669

Record 4
VASP calculation (meta-GGA SCAN) on a PBEsol-optimized structure of BaInAu3.

Values from the calculation:
total magnetic moment	0.00	μB per cell
formation energy from the elements	-0.462	eV per atom
space-group type	Pm-3m

Cell: 5.193 5.193 5.193 Å, 90.00 90.00 90.00°
Fractional positions:
Ba1 0.000 0.000 0.000
In1 0.500 0.500 0.500
Au1 0.000 0.500 0.500
Au2 0.500 0.000 0.500
Au3 0.500 0.500 0.000